LaAs2Rh: optimized geometry, PBE-GGA.

The structure belongs to space group F-43m (No. 216); the cell edges are 6.924, 6.924 and 6.924 Å and the angles 90.00°, 90.00° and 90.00°. The inequivalent atoms are La at (0.000, 0.000, 0.000), As at (0.000, 0.000, 0.500), As at (0.250, 0.250, 0.250) and Rh at (0.250, 0.250, 0.750).

The value obtained for the energy of formation from the pure elements is -0.370 eV per atom. Its magnetic moment is 0.00 Bohr magnetons per cell. For the total energy, the calculation gives -5.764 eV per atom.